# 1
# GGA-PBE ZrBe3, optimized geometry
# ΔE to the lowest computed polymorph: 0.0000 eV per atom
data_ZrBe3
_chemical_formula_sum 'Zr2 Be6'
_cell_length_a 3.6180
_cell_length_b 5.2900
_cell_length_c 5.0485
_cell_angle_alpha 90.00
_cell_angle_beta 90.00
_cell_angle_gamma 90.00
_symmetry_space_group_name_H-M 'P m m n'
_symmetry_Int_Tables_number 59
loop_
_symmetry_equiv_pos_as_xyz
'x,y,z'
'-x,-y,-z'
'-x+1/2,-y+1/2,z'
'x+1/2,y+1/2,-z'
'x+1/2,-y,-z'
'-x+1/2,y,z'
'-x,y+1/2,-z'
'x,-y+1/2,z'
loop_
_atom_site_label
_atom_site_type_symbol
_atom_site_fract_x
_atom_site_fract_y
_atom_site_fract_z
Zr1 Zr 0.2500 0.2500 0.1126
Be1 Be 0.2500 0.0355 0.6190
Be2 Be 0.2500 0.7500 0.3173

***

# 2
Density functional theory data (GGA-PBE) for a geometry-optimized HoSc5Rh6 structure.

CIF file:
```
data_HoSc5Rh6
_chemical_formula_sum 'Ho2 Sc10 Rh12'
_cell_length_a 4.6145
_cell_length_b 13.8465
_cell_length_c 6.5102
_cell_angle_alpha 90.00
_cell_angle_beta 90.00
_cell_angle_gamma 90.00
_symmetry_space_group_name_H-M 'C m m m'
_symmetry_Int_Tables_number 65
_symmetry_space_group_name_Hall '-C 2 2'
loop_
_atom_site_label
_atom_site_type_symbol
_atom_site_fract_x
_atom_site_fract_y
_atom_site_fract_z
Ho1 Ho 0.0000 0.0000 0.0000
Sc1 Sc 0.0000 0.0000 0.5000
Sc2 Sc 0.0000 0.3311 0.0000
Sc3 Sc 0.0000 0.3331 0.5000
Rh1 Rh 0.0000 0.1693 0.2535
Rh2 Rh 0.0000 0.5000 0.2580
```

***

Number 1: total energy -5.112 eV per atom, volume 12.1 Å³/atom, total moment 0.000 μB per atom. Number 2: total energy -7.687 eV per atom, volume 17.3 Å³/atom, total moment 0.000 μB per atom.